8
Lattice="-1.857 1.857 9.231 1.857 -1.857 9.231 1.857 1.857 -9.231" Properties=species:S:1:pos:R:3 comment="VRe2Rh (PBE, optimized geometry)" formation_energy_ev_per_atom=0.553 spacegroup="I-42d (122)" magnetic_moment_mub_per_fu=0.869 relative_energy_ev_per_atom=0.656 pbc="T T T"
V 0.000 0.000 0.000
V 0.000 1.857 4.616
Re 2.786 0.812 -2.308
Re 0.812 0.929 2.308
Re -0.929 1.046 6.923
Re 1.046 0.929 11.539
Rh 1.857 0.000 4.616
Rh 0.000 0.000 9.231